1.
VASP calculation (PBE) on K2RbBiF6 after structural relaxation.

The structure in extended XYZ format:
```
10
Lattice="0.000 4.910 4.910 4.910 0.000 4.910 4.910 4.910 0.000" Properties=species:S:1:pos:R:3 pbc="T T T"
K 2.455 2.455 2.455
K 7.365 7.365 7.365
Rb 0.000 0.000 0.000
Bi 4.910 4.910 4.910
F 4.910 4.910 2.645
F 4.910 2.645 4.910
F 7.175 4.910 4.910
F 2.645 4.910 4.910
F 4.910 7.175 4.910
F 4.910 4.910 7.175
```

Properties
Symmetry   Fm-3m
Formation energy without anion corrections   -2.58 eV per atom

=====

2.
VASP calculation (PBE) on KBiSF2 after structural relaxation.

The structure in extended XYZ format:
```
5
Lattice="4.671 0.000 0.000 0.000 4.671 0.000 0.000 0.000 5.440" Properties=species:S:1:pos:R:3 pbc="T T T"
K 0.000 0.000 0.000
Bi 2.336 2.336 2.720
S 2.336 2.336 0.000
F 0.000 2.336 2.720
F 2.336 0.000 2.720
```

Properties
Symmetry   P4/mmm
Formation energy without anion corrections   -1.79 eV per atom